The following is a DFT calculation (PBE-GGA) of a relaxed SrInGa2Ru crystal.

Output
Formation energy from the elements = -0.3043 eV per atom
V = 121.3 Å³ per cell
D(E_F) = 3.574 states/eV/f.u.

a = 4.8423 Å, b = 4.8423 Å, c = 5.1725 Å
α = 90.00°, β = 90.00°, γ = 90.00°
With the nearest neighbours (Å) after each atom.
Space group P4/mmm (No. 123)
Symmetry-distinct sites (fractional):
1 Sr 0.0000 0.0000 0.0000 [1 per cell]  4 In 3.42, 8 Ga 3.54
2 In 0.5000 0.5000 0.0000 [1 per cell]  2 Ru 2.59
3 Ga 0.0000 0.5000 0.5000 [2 per cell]  2 Ru 2.42
4 Ru 0.5000 0.5000 0.5000 [1 per cell]  4 Ga 2.42, 2 In 2.59